! Dy2ThAu | the Alexandria database | PBE | optimized geometry; values from VASP
! * offset from the most stable computed form: 0 meV/atom
! * space group: P4/mmm, No. 123
&SYSTEM
  ibrav = 0, nat = 4, ntyp = 3
/
ATOMIC_SPECIES
Dy 162.50 Dy.upf
Th 232.04 Th.upf
Au 196.97 Au.upf
ATOMIC_POSITIONS angstrom
Dy 0.0000 0.0000 1.7522
Dy 0.0000 0.0000 6.5629
Th 1.8097 1.8097 4.1576
Au 1.8097 1.8097 0.0000
CELL_PARAMETERS angstrom
3.6193 0.0000 0.0000
0.0000 3.6193 0.0000
0.0000 0.0000 8.3151

! DyTh2Au | the Alexandria database | PBE | optimized geometry; values from VASP
! * offset from the most stable computed form: 85 meV/atom
! * space group: R-3m, No. 166
&SYSTEM
  ibrav = 0, nat = 4, ntyp = 3
/
ATOMIC_SPECIES
Dy 162.50 Dy.upf
Th 232.04 Th.upf
Au 196.97 Au.upf
ATOMIC_POSITIONS angstrom
Dy 0.0000 0.0000 0.0000
Th 0.0000 0.0000 7.4500
Th 0.0000 0.0000 23.4692
Au 0.0000 0.0000 15.4596
CELL_PARAMETERS angstrom
1.8336 1.0587 10.3064
-1.8336 1.0587 10.3064
0.0000 -2.1173 10.3064

! DyTh2Au3 | the Alexandria database | PBE | optimized geometry; values from VASP
! * space group: Pmmn, No. 59
&SYSTEM
  ibrav = 0, nat = 12, ntyp = 3
/
ATOMIC_SPECIES
Dy 162.50 Dy.upf
Th 232.04 Th.upf
Au 196.97 Au.upf
ATOMIC_POSITIONS angstrom
Dy 1.2941 4.0471 0.0025
Dy 3.8824 12.1412 3.5596
Th 1.2941 9.3875 3.5617
Th 1.2941 14.8949 3.5617
Th 3.8824 1.2934 0.0004
Th 3.8824 6.8007 0.0004
Au 1.2941 1.5469 1.7832
Au 1.2941 6.5472 1.7832
Au 1.2941 12.1412 1.7792
Au 3.8824 4.0471 1.7829
Au 3.8824 9.6411 1.7790
Au 3.8824 14.6413 1.7790
CELL_PARAMETERS angstrom
5.1765 0.0000 0.0000
0.0000 16.1882 0.0000
0.0000 0.0000 3.5621

! Dy2ThAu | the Alexandria database | PBE | optimized geometry; values from VASP
! * offset from the most stable computed form: 146 meV/atom
! * space group: R-3m, No. 166
&SYSTEM
  ibrav = 0, nat = 4, ntyp = 3
/
ATOMIC_SPECIES
Dy 162.50 Dy.upf
Th 232.04 Th.upf
Au 196.97 Au.upf
ATOMIC_POSITIONS angstrom
Dy 0.0000 0.0000 7.1569
Dy 0.0000 0.0000 22.9085
Th 0.0000 0.0000 0.0000
Au 0.0000 0.0000 15.0327
CELL_PARAMETERS angstrom
1.8207 1.0512 10.0218
-1.8207 1.0512 10.0218
0.0000 -2.1024 10.0218

! Dy4ThAu5 | the Alexandria database | PBE | optimized geometry; values from VASP
! * space group: P4/mmm, No. 123
&SYSTEM
  ibrav = 0, nat = 10, ntyp = 3
/
ATOMIC_SPECIES
Dy 162.50 Dy.upf
Th 232.04 Th.upf
Au 196.97 Au.upf
ATOMIC_POSITIONS angstrom
Dy 0.0000 0.0000 1.8222
Dy 0.0000 0.0000 5.4440
Dy 0.0000 0.0000 13.0389
Dy 0.0000 0.0000 16.6608
Th 0.0000 0.0000 9.2415
Au 1.7903 1.7903 0.0000
Au 1.7903 1.7903 3.6287
Au 1.7903 1.7903 7.1865
Au 1.7903 1.7903 11.2965
Au 1.7903 1.7903 14.8542
CELL_PARAMETERS angstrom
3.5807 0.0000 0.0000
0.0000 3.5807 0.0000
0.0000 0.0000 18.4829

! DyThAu3 | the Alexandria database | PBE | optimized geometry; values from VASP
! * space group: Cmcm, No. 63
&SYSTEM
  ibrav = 0, nat = 10, ntyp = 3
/
ATOMIC_SPECIES
Dy 162.50 Dy.upf
Th 232.04 Th.upf
Au 196.97 Au.upf
ATOMIC_POSITIONS angstrom
Dy 1.7716 8.2870 3.5189
Dy 1.7716 -8.2870 1.1730
Th 1.7716 12.0728 1.1730
Th 1.7716 -12.0728 3.5189
Au 1.7716 5.2055 3.5189
Au 1.7716 3.4781 1.1730
Au 1.7716 0.7134 1.1730
Au 1.7716 -0.7134 3.5189
Au 1.7716 -3.4781 3.5189
Au 1.7716 -5.2055 1.1730
CELL_PARAMETERS angstrom
1.7716 -14.1620 0.0000
1.7716 14.1620 0.0000
0.0000 0.0000 4.6918

! Dy2ThAu3 | the Alexandria database | PBE | optimized geometry; values from VASP
! * offset from the most stable computed form: 0 meV/atom
! * space group: P4/mmm, No. 123
&SYSTEM
  ibrav = 0, nat = 6, ntyp = 3
/
ATOMIC_SPECIES
Dy 162.50 Dy.upf
Th 232.04 Th.upf
Au 196.97 Au.upf
ATOMIC_POSITIONS angstrom
Dy 0.0000 0.0000 1.8043
Dy 0.0000 0.0000 9.4027
Th 0.0000 0.0000 5.6035
Au 1.7925 1.7925 0.0000
Au 1.7925 1.7925 3.5492
Au 1.7925 1.7925 7.6578
CELL_PARAMETERS angstrom
3.5850 0.0000 0.0000
0.0000 3.5850 0.0000
0.0000 0.0000 11.2071

! Dy2ThAu | the Alexandria database | PBE | optimized geometry; values from VASP
! * offset from the most stable computed form: 169 meV/atom
! * space group: R3m, No. 160
&SYSTEM
  ibrav = 0, nat = 4, ntyp = 3
/
ATOMIC_SPECIES
Dy 162.50 Dy.upf
Th 232.04 Th.upf
Au 196.97 Au.upf
ATOMIC_POSITIONS angstrom
Dy 0.0000 0.0000 0.0000
Dy 0.0000 0.0000 5.8348
Th 0.0000 0.0000 22.8367
Au 0.0000 0.0000 17.8881
CELL_PARAMETERS angstrom
1.8450 1.0652 9.9731
-1.8450 1.0652 9.9731
0.0000 -2.1304 9.9731

! Dy2Th3Au7 | the Alexandria database | PBE | optimized geometry; values from VASP
! * space group: Cmmm, No. 65
&SYSTEM
  ibrav = 0, nat = 12, ntyp = 3
/
ATOMIC_SPECIES
Dy 162.50 Dy.upf
Th 232.04 Th.upf
Au 196.97 Au.upf
ATOMIC_POSITIONS angstrom
Dy 2.5394 7.7138 0.0000
Dy 2.5394 -7.7138 0.0000
Th 2.5394 3.7348 2.7478
Th 2.5394 0.0000 2.7478
Th 2.5394 -3.7348 2.7478
Au 0.0000 0.0000 0.0000
Au 2.5394 8.7850 2.7478
Au 2.5394 4.7403 0.0000
Au 2.5394 1.5598 0.0000
Au 2.5394 -1.5598 0.0000
Au 2.5394 -4.7403 0.0000
Au 2.5394 -8.7850 2.7478
CELL_PARAMETERS angstrom
2.5394 -10.7392 0.0000
2.5394 10.7392 0.0000
0.0000 0.0000 5.4955

! DyTh2Au | the Alexandria database | PBE | optimized geometry; values from VASP
! * offset from the most stable computed form: 0 meV/atom
! * space group: P4/mmm, No. 123
&SYSTEM
  ibrav = 0, nat = 4, ntyp = 3
/
ATOMIC_SPECIES
Dy 162.50 Dy.upf
Th 232.04 Th.upf
Au 196.97 Au.upf
ATOMIC_POSITIONS angstrom
Dy 0.0000 0.0000 0.0000
Th 1.8075 1.8075 2.5246
Th 1.8075 1.8075 6.4371
Au 0.0000 0.0000 4.4808
CELL_PARAMETERS angstrom
3.6151 0.0000 0.0000
0.0000 3.6151 0.0000
0.0000 0.0000 8.9617

! DyThZnAu | the Alexandria database | PBE | optimized geometry; values from VASP
! * offset from the most stable computed form: 46 meV/atom
! * space group: F-43m, No. 216
&SYSTEM
  ibrav = 0, nat = 4, ntyp = 4
/
ATOMIC_SPECIES
Dy 162.50 Dy.upf
Th 232.04 Th.upf
Zn 65.41 Zn.upf
Au 196.97 Au.upf
ATOMIC_POSITIONS angstrom
Dy 0.0000 0.0000 0.0000
Th 3.6556 3.6556 3.6556
Zn 1.8278 1.8278 1.8278
Au 5.4834 5.4834 5.4834
CELL_PARAMETERS angstrom
0.0000 3.6556 3.6556
3.6556 0.0000 3.6556
3.6556 3.6556 0.0000

! DyThZnAu | the Alexandria database | PBE | optimized geometry; values from VASP
! * offset from the most stable computed form: 0 meV/atom
! * space group: Amm2, No. 38
&SYSTEM
  ibrav = 0, nat = 4, ntyp = 4
/
ATOMIC_SPECIES
Dy 162.50 Dy.upf
Th 232.04 Th.upf
Zn 65.41 Zn.upf
Au 196.97 Au.upf
ATOMIC_POSITIONS angstrom
Dy 0.0000 0.0000 0.0000
Th 2.2780 0.0000 8.0820
Zn 0.0000 0.0000 3.2187
Au 2.2780 0.0000 4.9483
CELL_PARAMETERS angstrom
4.5561 0.0000 0.0000
0.0000 1.9127 5.6946
0.0000 -1.9127 5.6946

! DyTiAu2 | the Alexandria database | PBE | optimized geometry; values from VASP
! * offset from the most stable computed form: 0 meV/atom
! * space group: P4/mmm, No. 123
&SYSTEM
  ibrav = 0, nat = 4, ntyp = 3
/
ATOMIC_SPECIES
Dy 162.50 Dy.upf
Ti 47.87 Ti.upf
Au 196.97 Au.upf
ATOMIC_POSITIONS angstrom
Dy 0.0000 0.0000 0.0000
Ti 0.0000 0.0000 3.4776
Au 1.7061 1.7061 1.9614
Au 1.7061 1.7061 4.9938
CELL_PARAMETERS angstrom
3.4123 0.0000 0.0000
0.0000 3.4123 0.0000
0.0000 0.0000 6.9552

! DyTiAu2 | the Alexandria database | PBE | optimized geometry; values from VASP
! * offset from the most stable computed form: 32 meV/atom
! * space group: P4/mmm, No. 123
&SYSTEM
  ibrav = 0, nat = 4, ntyp = 3
/
ATOMIC_SPECIES
Dy 162.50 Dy.upf
Ti 47.87 Ti.upf
Au 196.97 Au.upf
ATOMIC_POSITIONS angstrom
Dy 0.0000 0.0000 0.0000
Ti 2.4105 2.4105 0.0000
Au 0.0000 2.4105 1.7642
Au 2.4105 0.0000 1.7642
CELL_PARAMETERS angstrom
4.8210 0.0000 0.0000
0.0000 4.8210 0.0000
0.0000 0.0000 3.5285

! Dy2TiAu | the Alexandria database | PBE | optimized geometry; values from VASP
! * space group: P4/mmm, No. 123
&SYSTEM
  ibrav = 0, nat = 4, ntyp = 3
/
ATOMIC_SPECIES
Dy 162.50 Dy.upf
Ti 47.87 Ti.upf
Au 196.97 Au.upf
ATOMIC_POSITIONS angstrom
Dy 0.0000 0.0000 1.9172
Dy 0.0000 0.0000 6.0193
Ti 1.7283 1.7283 3.9683
Au 1.7283 1.7283 0.0000
CELL_PARAMETERS angstrom
3.4567 0.0000 0.0000
0.0000 3.4567 0.0000
0.0000 0.0000 7.9365

! DyTiZnAu | the Alexandria database | PBE | optimized geometry; values from VASP
! * space group: F-43m, No. 216
&SYSTEM
  ibrav = 0, nat = 4, ntyp = 4
/
ATOMIC_SPECIES
Dy 162.50 Dy.upf
Ti 47.87 Ti.upf
Zn 65.41 Zn.upf
Au 196.97 Au.upf
ATOMIC_POSITIONS angstrom
Dy 0.0000 0.0000 0.0000
Ti 3.4215 3.4215 3.4215
Zn 1.7107 1.7107 1.7107
Au 5.1322 5.1322 5.1322
CELL_PARAMETERS angstrom
0.0000 3.4215 3.4215
3.4215 0.0000 3.4215
3.4215 3.4215 0.0000

! Dy2TlAu | the Alexandria database | PBE | optimized geometry; values from VASP
! * space group: R-3m, No. 166
&SYSTEM
  ibrav = 0, nat = 4, ntyp = 3
/
ATOMIC_SPECIES
Dy 162.50 Dy.upf
Tl 204.38 Tl.upf
Au 196.97 Au.upf
ATOMIC_POSITIONS angstrom
Dy 0.0000 0.0000 6.1899
Dy 0.0000 0.0000 19.5727
Tl 0.0000 0.0000 0.0000
Au 0.0000 0.0000 12.8813
CELL_PARAMETERS angstrom
1.9427 1.1216 8.5876
-1.9427 1.1216 8.5876
0.0000 -2.2433 8.5876

! Dy8Tl2Au | the Alexandria database | PBE | optimized geometry; values from VASP
! * space group: C2/m, No. 12
&SYSTEM
  ibrav = 0, nat = 11, ntyp = 3
/
ATOMIC_SPECIES
Dy 162.50 Dy.upf
Tl 204.38 Tl.upf
Au 196.97 Au.upf
ATOMIC_POSITIONS angstrom
Dy -0.0408 0.0000 1.7763
Dy 2.8466 0.0000 5.4332
Dy 5.8906 0.0000 3.3959
Dy 7.6536 0.0000 0.2264
Dy 9.8777 0.0000 6.4176
Dy 11.6408 0.0000 3.2481
Dy 14.6847 0.0000 1.2108
Dy 17.5721 0.0000 4.8677
Tl 3.1641 0.0000 1.7280
Tl 14.3672 0.0000 4.9160
Au 8.7657 0.0000 3.3220
CELL_PARAMETERS angstrom
9.4048 -2.5617 0.0000
9.4048 2.5617 0.0000
-1.2782 0.0000 6.6440

! Dy2TlAu | the Alexandria database | PBE | optimized geometry; values from VASP
! * space group: P4/mmm, No. 123
&SYSTEM
  ibrav = 0, nat = 4, ntyp = 3
/
ATOMIC_SPECIES
Dy 162.50 Dy.upf
Tl 204.38 Tl.upf
Au 196.97 Au.upf
ATOMIC_POSITIONS angstrom
Dy 0.0000 0.0000 1.7692
Dy 0.0000 0.0000 5.9391
Tl 1.8124 1.8124 3.8542
Au 1.8124 1.8124 0.0000
CELL_PARAMETERS angstrom
3.6248 0.0000 0.0000
0.0000 3.6248 0.0000
0.0000 0.0000 7.7084

! Dy6Tl2Au | the Alexandria database | PBE | optimized geometry; values from VASP
! * space group: P2_1/c, No. 14
&SYSTEM
  ibrav = 0, nat = 18, ntyp = 3
/
ATOMIC_SPECIES
Dy 162.50 Dy.upf
Tl 204.38 Tl.upf
Au 196.97 Au.upf
ATOMIC_POSITIONS angstrom
Dy -2.1287 1.4957 4.3542
Dy -4.9293 2.8417 9.2779
Dy -0.3517 5.9057 4.3700
Dy -3.1523 7.1064 9.2937
Dy 0.8539 0.2631 2.7669
Dy -1.9467 4.0742 7.6906
Dy 2.5184 4.6005 2.1567
Dy -0.2822 8.4116 7.0804
Dy 3.7240 1.5684 0.5536
Dy 0.9234 2.7690 5.4773
Dy 5.5010 5.8330 0.5695
Dy 2.7004 7.1791 5.4931
Tl -3.1394 1.0919 7.3933
Tl -0.3388 3.2455 2.4697
Tl 0.9104 5.4292 7.3776
Tl 3.7110 7.5829 2.4540
Au 0.0000 0.0000 0.0000
Au -2.8006 4.3374 4.9237
CELL_PARAMETERS angstrom
6.1729 0.0000 0.0000
0.0000 8.6747 0.0000
-5.6012 0.0000 9.8473

no.,total magnetization (μB per formula unit),raw total energy (eV/cell),ΔH_f (0 K) (eV per atom)
1,0.00,-21.6,-0.415
2,0.00,-23.3,-0.143
3,0.00,-66.4,-0.655
4,0.00,-21.0,-0.269
5,0.00,-50.2,-0.803
6,0.00,-51.3,-0.763
7,0.00,-31.0,-0.757
8,0.00,-20.9,-0.246
9,0.00,-61.3,-0.572
10,0.00,-23.6,-0.228
11,0.68,-18.3,-0.432
12,0.00,-18.5,-0.479
13,1.09,-21.2,-0.545
14,1.56,-21.1,-0.513
15,0.00,-21.5,-0.279
16,1.48,-18.3,-0.322
17,0.00,-16.7,-0.474
18,0.00,-47.6,-0.249
19,0.00,-17.3,-0.607
20,0.00,-76.0,-0.263